Version 1
This record from Alexandria describes crystalline LiSnP4O12 at its relaxed geometry. The functional is PBEsol.

Output
- N(E_F) (states/eV/f.u.) = 0.00
- ρ (kg/m³) = 3018

Cell: 7.390 7.616 10.011 Å, 96.17 107.93 110.83°
Space group P-1 (No. 2)
Symmetry-distinct sites (fractional):
Li1 0.239 0.028 0.280 x2
Sn1 0.000 0.000 0.500 x1
Sn2 0.000 0.500 0.000 x1
P1 0.001 0.336 0.307 x2
P2 0.271 0.720 0.507 x2
P3 0.298 0.261 0.035 x2
P4 0.497 0.319 0.816 x2
O1 0.031 0.151 0.303 x2
O2 0.070 0.617 0.838 x2
O3 0.117 0.307 0.948 x2
O4 0.152 0.809 0.407 x2
O5 0.167 0.661 0.627 x2
O6 0.215 0.505 0.416 x2
O7 0.256 0.103 0.108 x2
O8 0.287 0.684 0.148 x2
O9 0.348 0.221 0.666 x2
O10 0.410 0.221 0.930 x2
O11 0.477 0.462 0.147 x2
O12 0.498 0.816 0.583 x2

=====

Version 2
This record from Alexandria describes crystalline LiSnP4O12 at its relaxed geometry. The functional is PBEsol.

Output
- N(E_F) (states/eV/f.u.) = 1.80
- ρ (kg/m³) = 3233

Cell: 7.311 12.992 11.709 Å, 90.00 125.36 90.00°
Space group P2_1/c (No. 14)
Symmetry-distinct sites (fractional):
Li1 0.205 0.200 0.093 x4
Sn1 0.475 0.722 0.515 x4
P1 0.005 0.112 0.229 x4
P2 0.129 0.605 0.724 x4
P3 0.309 0.633 0.196 x4
P4 0.416 0.086 0.711 x4
O1 0.063 0.138 0.917 x4
O2 0.069 0.505 0.776 x4
O3 0.070 0.641 0.171 x4
O4 0.194 0.619 0.423 x4
O5 0.209 0.172 0.268 x4
O6 0.222 0.680 0.843 x4
O7 0.302 0.522 0.135 x4
O8 0.305 0.714 0.104 x4
O9 0.326 0.561 0.716 x4
O10 0.328 0.166 0.600 x4
O11 0.381 0.101 0.826 x4
O12 0.497 0.636 0.351 x4

=====

Version 3
This record from Alexandria describes crystalline LiSnP4O12 at its relaxed geometry. The functional is PBEsol.

Output
- N(E_F) (states/eV/f.u.) = 2.32
- ρ (kg/m³) = 2890

Cell: 10.019 11.644 17.398 Å, 90.00 90.00 90.00°
Space group C222_1 (No. 20)
Symmetry-distinct sites (fractional):
Li1 0.148 0.045 0.355 x8
Sn1 0.221 0.206 0.634 x8
P1 0.000 0.349 0.250 x4
P2 0.044 0.263 0.987 x8
P3 0.107 0.144 0.842 x8
P4 0.151 0.500 0.000 x4
P5 0.189 0.480 0.692 x8
O1 0.030 0.089 0.649 x8
O2 0.046 0.400 0.984 x8
O3 0.063 0.434 0.312 x8
O4 0.098 0.224 0.521 x8
O5 0.101 0.276 0.209 x8
O6 0.118 0.223 0.058 x8
O7 0.130 0.232 0.912 x8
O8 0.143 0.374 0.649 x8
O9 0.148 0.204 0.771 x8
O10 0.209 0.043 0.866 x8
O11 0.230 0.474 0.072 x8
O12 0.245 0.471 0.770 x8

=====

Q: Which of them is the most stable? A: version 1.

=====

Version 1
This record from Alexandria describes crystalline LiSnP4O12 at its relaxed geometry. The functional is PBEsol.

Output
- N(E_F) (states/eV/f.u.) = 2.95
- ρ (kg/m³) = 3243

Cell: 12.176 8.559 9.972 Å, 90.00 119.52 90.00°
Space group C2/c (No. 15)
Symmetry-distinct sites (fractional):
Li1 0.250 0.250 0.000 x4
Sn1 0.000 0.050 0.750 x4
P1 0.004 0.275 0.472 x8
P2 0.196 0.497 0.699 x8
O1 0.048 0.134 0.422 x8
O2 0.049 0.250 0.920 x8
O3 0.097 0.367 0.178 x8
O4 0.119 0.395 0.544 x8
O5 0.203 0.077 0.825 x8
O6 0.232 0.408 0.840 x8

=====

Version 2
This record from Alexandria describes crystalline LiSnP4O12 at its relaxed geometry. The functional is PBEsol.

Output
- N(E_F) (states/eV/f.u.) = 3.28
- ρ (kg/m³) = 3546

Cell: 9.404 9.404 9.352 Å, 90.00 90.00 90.00°
Space group P4_2/nnm (No. 134, origin choice 2)
Symmetry-distinct sites (fractional):
Li1 0.000 0.000 0.000 x4
Sn1 0.250 0.250 0.000 x4
P1 0.026 0.750 0.250 x8
P2 0.033 0.750 0.750 x8
O1 0.045 0.175 0.131 x16
O2 0.052 0.184 0.627 x16
O3 0.134 0.634 0.319 x8
O4 0.139 0.639 0.825 x8

=====

Q: Which of them is the most stable? A: version 1.

=====

Version 1
This record from Alexandria describes crystalline LiSnP4O12 at its relaxed geometry. The functional is PBEsol.

Output
- N(E_F) (states/eV/f.u.) = 3.77
- ρ (kg/m³) = 2763

Cell: 12.872 8.381 9.838 Å, 90.00 90.00 90.00°
Space group Pbcn (No. 60)
Symmetry-distinct sites (fractional):
Li1 0.000 0.003 0.250 x4
Sn1 0.000 0.385 0.750 x4
P1 0.129 0.169 0.506 x8
P2 0.161 0.473 0.003 x8
O1 0.059 0.180 0.630 x8
O2 0.079 0.447 0.110 x8
O3 0.090 0.098 0.379 x8
O4 0.145 0.388 0.869 x8
O5 0.179 0.342 0.476 x8
O6 0.230 0.077 0.565 x8

=====

Version 2
This record from Alexandria describes crystalline LiSnP4O12 at its relaxed geometry. The functional is PBEsol.

Output
- N(E_F) (states/eV/f.u.) = 1.67
- ρ (kg/m³) = 2381

Cell: 17.958 12.679 5.656 Å, 90.00 106.93 90.00°
Space group C2/m (No. 12)
Symmetry-distinct sites (fractional):
Li1 0.111 0.000 0.344 x4
Sn1 0.250 0.250 0.000 x4
P1 0.083 0.228 0.543 x8
P2 0.196 0.386 0.457 x8
O1 0.000 0.283 0.500 x4
O2 0.076 0.127 0.408 x8
O3 0.121 0.314 0.400 x8
O4 0.125 0.233 0.817 x8
O5 0.155 0.500 0.441 x4
O6 0.233 0.375 0.251 x8
O7 0.249 0.130 0.287 x8

=====

Q: Which of them is the most stable? A: version 1.